[1]
Li3SnAu4: optimized geometry, PBE-GGA.

a b c (Å): 4.583 4.583 6.456
angles (deg): 90.00 90.00 90.00
Positions (direct):
Li1 0.000 0.000 0.000
Li2 0.000 0.000 0.500
Li3 0.500 0.500 0.000
Sn1 0.500 0.500 0.500
Au1 0.000 0.500 0.228
Au2 0.000 0.500 0.772
Au3 0.500 0.000 0.228
Au4 0.500 0.000 0.772

Summary:
- DOS(E_F): 2.22 states/eV/cell
- Total energy: -0.244 Ry/atom
- Distance to the lowest polymorph of the same formula: 0.000 eV/atom

=====

[2]
LiSn2Au: optimized geometry, PBE-GGA.

a b c (Å): 6.365 6.171 6.140
angles (deg): 62.26 59.11 58.63
Positions (direct):
Li1 0.227 0.773 0.227
Li2 0.773 0.227 0.773
Sn1 0.250 0.250 0.250
Sn2 0.272 0.728 0.728
Sn3 0.728 0.272 0.272
Sn4 0.750 0.750 0.750
Au1 0.228 0.228 0.772
Au2 0.772 0.772 0.228

Summary:
- DOS(E_F): 3.30 states/eV/cell
- Total energy: -0.261 Ry/atom
- Distance to the lowest polymorph of the same formula: 0.000 eV/atom

=====

[3]
Li2SnAu2: optimized geometry, PBE-GGA.

a b c (Å): 7.481 7.481 3.205
angles (deg): 90.00 90.00 90.00
Positions (direct):
Li1 0.158 0.342 0.000
Li2 0.342 0.842 0.000
Li3 0.658 0.158 0.000
Li4 0.842 0.658 0.000
Sn1 0.000 0.000 0.500
Sn2 0.500 0.500 0.500
Au1 0.137 0.637 0.500
Au2 0.363 0.137 0.500
Au3 0.637 0.863 0.500
Au4 0.863 0.363 0.500

Summary:
- DOS(E_F): 1.93 states/eV/cell
- Total energy: -0.246 Ry/atom
- Distance to the lowest polymorph of the same formula: 0.000 eV/atom

=====

[4]
Li6Sn2Au: optimized geometry, PBE-GGA.

a b c (Å): 7.776 7.776 3.023
angles (deg): 90.47 90.47 60.17
Positions (direct):
Li1 0.173 0.500 0.002
Li2 0.173 0.827 0.000
Li3 0.500 0.173 0.002
Li4 0.500 0.827 0.998
Li5 0.827 0.173 0.000
Li6 0.827 0.500 0.998
Sn1 0.166 0.166 0.500
Sn2 0.834 0.834 0.500
Au1 0.500 0.500 0.500

Summary:
- DOS(E_F): 3.81 states/eV/cell
- Total energy: -0.213 Ry/atom
- Distance to the lowest polymorph of the same formula: 0.017 eV/atom

=====

[5]
Li2Sn2Au5: optimized geometry, PBE-GGA.

a b c (Å): 8.753 8.753 8.753
angles (deg): 78.45 144.14 112.94
Positions (direct):
Li1 0.009 0.122 0.131
Li2 0.009 0.378 0.387
Li3 0.991 0.622 0.613
Li4 0.991 0.878 0.869
Sn1 0.450 0.450 0.000
Sn2 0.450 0.950 0.500
Sn3 0.554 0.806 0.248
Sn4 0.557 0.306 0.752
Au1 0.032 0.572 0.959
Au2 0.063 0.126 0.643
Au3 0.063 0.920 0.437
Au4 0.475 0.144 0.216
Au5 0.475 0.759 0.831
Au6 0.483 0.420 0.357
Au7 0.483 0.626 0.563
Au8 0.613 0.072 0.041
Au9 0.928 0.259 0.784
Au10 0.928 0.644 0.169

Summary:
- DOS(E_F): 5.92 states/eV/cell
- Total energy: -0.248 Ry/atom

=====

[6]
Li2Sn3Au3: optimized geometry, PBE-GGA.

a b c (Å): 8.155 8.155 6.014
angles (deg): 90.00 90.00 120.00
Positions (direct):
Li1 0.333 0.667 0.000
Li2 0.333 0.667 0.500
Li3 0.667 0.333 0.000
Li4 0.667 0.333 0.500
Sn1 0.000 0.302 0.250
Sn2 0.000 0.698 0.750
Sn3 0.302 0.000 0.250
Sn4 0.302 0.302 0.750
Sn5 0.698 0.000 0.750
Sn6 0.698 0.698 0.250
Au1 0.000 0.363 0.750
Au2 0.000 0.637 0.250
Au3 0.363 0.000 0.750
Au4 0.363 0.363 0.250
Au5 0.637 0.000 0.250
Au6 0.637 0.637 0.750

Summary:
- DOS(E_F): 4.55 states/eV/cell
- Total energy: -0.262 Ry/atom
- Distance to the lowest polymorph of the same formula: 0.000 eV/atom

=====

[7]
Li5Sn2Au12: optimized geometry, PBE-GGA.

a b c (Å): 8.210 8.210 8.782
angles (deg): 105.85 105.85 39.98
Positions (direct):
Li1 0.000 0.000 0.000
Li2 0.301 0.301 0.118
Li3 0.355 0.355 0.639
Li4 0.645 0.645 0.361
Li5 0.699 0.699 0.882
Sn1 0.252 0.748 0.500
Sn2 0.748 0.252 0.500
Au1 0.048 0.550 0.381
Au2 0.102 0.602 0.896
Au3 0.103 0.103 0.805
Au4 0.398 0.898 0.104
Au5 0.450 0.952 0.619
Au6 0.485 0.485 0.161
Au7 0.515 0.515 0.839
Au8 0.550 0.048 0.381
Au9 0.602 0.102 0.896
Au10 0.897 0.897 0.195
Au11 0.898 0.398 0.104
Au12 0.952 0.450 0.619

Summary:
- DOS(E_F): 4.44 states/eV/cell
- Total energy: -0.237 Ry/atom

=====

[8]
LiSnAu4: optimized geometry, PBE-GGA.

a b c (Å): 5.579 5.579 5.579
angles (deg): 60.00 60.00 60.00
Positions (direct):
Li1 0.000 0.000 0.000
Sn1 0.750 0.750 0.750
Au1 0.375 0.375 0.375
Au2 0.375 0.375 0.876
Au3 0.375 0.876 0.375
Au4 0.876 0.375 0.375

Summary:
- DOS(E_F): 4.91 states/eV/cell
- Total energy: -0.245 Ry/atom
- Distance to the lowest polymorph of the same formula: 0.047 eV/atom

=====

[9]
Li3SnAu: optimized geometry, PBE-GGA.

a b c (Å): 4.786 4.786 4.786
angles (deg): 90.00 90.00 90.00
Positions (direct):
Li1 0.000 0.000 0.500
Li2 0.000 0.500 0.000
Li3 0.500 0.000 0.000
Sn1 0.500 0.500 0.500
Au1 0.000 0.000 0.000

Summary:
- DOS(E_F): 1.82 states/eV/cell
- Total energy: -0.204 Ry/atom
- Distance to the lowest polymorph of the same formula: 0.246 eV/atom

=====

[10]
Li12Sn5Au2: optimized geometry, PBE-GGA.

a b c (Å): 7.736 7.736 6.279
angles (deg): 91.58 91.58 70.39
Positions (direct):
Li1 0.017 0.017 0.220
Li2 0.126 0.548 0.728
Li3 0.128 0.624 0.155
Li4 0.376 0.872 0.845
Li5 0.402 0.402 0.423
Li6 0.452 0.874 0.272
Li7 0.548 0.126 0.728
Li8 0.598 0.598 0.577
Li9 0.624 0.128 0.155
Li10 0.872 0.376 0.845
Li11 0.874 0.452 0.272
Li12 0.983 0.983 0.780
Sn1 0.178 0.178 0.545
Sn2 0.229 0.229 0.046
Sn3 0.500 0.500 0.000
Sn4 0.771 0.771 0.954
Sn5 0.822 0.822 0.455
Au1 0.225 0.775 0.500
Au2 0.775 0.225 0.500

Summary:
- DOS(E_F): 4.74 states/eV/cell
- Total energy: -0.219 Ry/atom

=====

[11]
Li3SnAu12: optimized geometry, PBE-GGA.

a b c (Å): 4.119 4.119 16.604
angles (deg): 90.00 90.00 90.00
Positions (direct):
Li1 0.000 0.000 0.000
Li2 0.000 0.000 0.241
Li3 0.000 0.000 0.759
Sn1 0.000 0.000 0.500
Au1 0.000 0.500 0.120
Au2 0.000 0.500 0.362
Au3 0.000 0.500 0.638
Au4 0.000 0.500 0.880
Au5 0.500 0.000 0.120
Au6 0.500 0.000 0.362
Au7 0.500 0.000 0.638
Au8 0.500 0.000 0.880
Au9 0.500 0.500 0.000
Au10 0.500 0.500 0.241
Au11 0.500 0.500 0.500
Au12 0.500 0.500 0.759

Summary:
- DOS(E_F): 4.29 states/eV/cell
- Total energy: -0.245 Ry/atom

=====

[12]
Li3SnAu2: optimized geometry, PBE-GGA.

a b c (Å): 6.724 6.724 3.636
angles (deg): 90.00 90.00 142.81
Positions (direct):
Li1 0.000 0.000 0.000
Li2 0.323 0.677 0.000
Li3 0.677 0.323 0.000
Sn1 0.500 0.500 0.500
Au1 0.165 0.835 0.500
Au2 0.835 0.165 0.500

Summary:
- DOS(E_F): 1.87 states/eV/cell
- Total energy: -0.235 Ry/atom

=====

[13]
Li4SnAu: optimized geometry, PBE-GGA.

a b c (Å): 7.897 7.897 5.250
angles (deg): 109.06 109.06 49.91
Positions (direct):
Li1 0.105 0.629 0.368
Li2 0.177 0.823 0.000
Li3 0.319 0.319 0.818
Li4 0.371 0.895 0.632
Li5 0.629 0.105 0.368
Li6 0.681 0.681 0.182
Li7 0.823 0.177 0.000
Li8 0.895 0.371 0.632
Sn1 0.194 0.194 0.194
Sn2 0.806 0.806 0.806
Au1 0.500 0.500 0.252
Au2 0.500 0.500 0.748

Summary:
- DOS(E_F): 3.33 states/eV/cell
- Total energy: -0.210 Ry/atom
- Distance to the lowest polymorph of the same formula: 0.042 eV/atom

=====

[14]
LiSn2Au: optimized geometry, PBE-GGA.

a b c (Å): 4.519 4.519 5.625
angles (deg): 113.18 113.18 60.03
Positions (direct):
Li1 0.000 0.000 0.000
Sn1 0.576 0.576 0.726
Sn2 0.785 0.785 0.355
Au1 0.359 0.359 0.080

Summary:
- DOS(E_F): 1.52 states/eV/cell
- Total energy: -0.260 Ry/atom
- Distance to the lowest polymorph of the same formula: 0.015 eV/atom

=====

[15]
LiSn2Au: optimized geometry, PBE-GGA.

a b c (Å): 5.906 5.906 5.906
angles (deg): 45.33 45.33 45.33
Positions (direct):
Li1 0.000 0.000 0.000
Sn1 0.578 0.578 0.578
Sn2 0.773 0.773 0.773
Au1 0.177 0.177 0.177

Summary:
- DOS(E_F): 1.69 states/eV/cell
- Total energy: -0.261 Ry/atom
- Distance to the lowest polymorph of the same formula: 0.006 eV/atom

=====

[16]
Li3Sn2Au4: optimized geometry, PBE-GGA.

a b c (Å): 4.728 4.728 8.732
angles (deg): 94.40 94.40 57.60
Positions (direct):
Li1 0.000 0.000 0.000
Li2 0.342 0.342 0.425
Li3 0.658 0.658 0.575
Sn1 0.328 0.328 0.771
Sn2 0.672 0.672 0.229
Au1 0.014 0.014 0.342
Au2 0.336 0.336 0.099
Au3 0.664 0.664 0.901
Au4 0.986 0.986 0.658

Summary:
- DOS(E_F): 1.78 states/eV/cell
- Total energy: -0.252 Ry/atom

=====

[17]
LiSn2Au2: optimized geometry, PBE-GGA.

a b c (Å): 4.759 4.811 9.550
angles (deg): 90.00 90.03 90.00
Positions (direct):
Li1 0.249 0.250 0.333
Li2 0.751 0.750 0.667
Sn1 0.250 0.250 0.008
Sn2 0.250 0.250 0.666
Sn3 0.750 0.750 0.334
Sn4 0.750 0.750 0.992
Au1 0.250 0.750 0.167
Au2 0.251 0.750 0.512
Au3 0.749 0.250 0.488
Au4 0.750 0.250 0.833

Summary:
- DOS(E_F): 2.57 states/eV/cell
- Total energy: -0.266 Ry/atom
- Distance to the lowest polymorph of the same formula: 0.000 eV/atom

=====

[18]
Li2Sn3Au4: optimized geometry, PBE-GGA.

a b c (Å): 4.667 4.713 10.026
angles (deg): 101.76 90.86 119.25
Positions (direct):
Li1 0.101 0.199 0.303
Li2 0.899 0.801 0.697
Sn1 0.300 0.605 0.894
Sn2 0.500 0.000 0.500
Sn3 0.700 0.395 0.106
Au1 0.200 0.398 0.602
Au2 0.396 0.787 0.195
Au3 0.604 0.213 0.805
Au4 0.800 0.602 0.398

Summary:
- DOS(E_F): 3.04 states/eV/cell
- Total energy: -0.261 Ry/atom

=====

[19]
LiSn4Au2: optimized geometry, PBE-GGA.

a b c (Å): 9.755 9.755 9.755
angles (deg): 26.95 26.95 26.95
Positions (direct):
Li1 0.000 0.000 0.000
Sn1 0.203 0.203 0.203
Sn2 0.382 0.382 0.382
Sn3 0.618 0.618 0.618
Sn4 0.797 0.797 0.797
Au1 0.093 0.093 0.093
Au2 0.907 0.907 0.907

Summary:
- DOS(E_F): 3.33 states/eV/cell
- Total energy: -0.272 Ry/atom

=====

[20]
Li5SnAu: optimized geometry, PBE-GGA.

a b c (Å): 5.152 5.152 9.809
angles (deg): 103.30 103.30 96.55
Positions (direct):
Li1 0.006 0.407 0.839
Li2 0.141 0.859 0.750
Li3 0.239 0.527 0.469
Li4 0.407 0.006 0.339
Li5 0.473 0.761 0.031
Li6 0.527 0.239 0.969
Li7 0.593 0.994 0.661
Li8 0.761 0.473 0.531
Li9 0.859 0.141 0.250
Li10 0.994 0.593 0.161
Sn1 0.000 0.000 0.000
Sn2 0.000 0.000 0.500
Au1 0.490 0.510 0.750
Au2 0.510 0.490 0.250

Summary:
- DOS(E_F): 3.81 states/eV/cell
- Total energy: -0.202 Ry/atom
- Distance to the lowest polymorph of the same formula: 0.000 eV/atom

=====

[21]
LiSn2Au: optimized geometry, PBE-GGA.

a b c (Å): 4.449 4.449 4.292
angles (deg): 90.00 90.00 90.00
Positions (direct):
Li1 0.000 0.000 0.000
Sn1 0.000 0.500 0.500
Sn2 0.500 0.000 0.500
Au1 0.500 0.500 0.000

Summary:
- DOS(E_F): 1.11 states/eV/cell
- Total energy: -0.260 Ry/atom
- Distance to the lowest polymorph of the same formula: 0.008 eV/atom